Density functional theory data (PBEsol) for a relaxed structure of Na2ScTeF.

extended XYZ file:
```
5
Lattice="4.2073 0.0000 0.0000 0.0000 4.2073 0.0000 0.0000 0.0000 6.6944" Properties=species:S:1:pos:R:3 pbc="T T T"
Te 0.0000 0.0000 3.3472
Na 2.1036 0.0000 0.0000
F 0.0000 0.0000 0.0000
Sc 2.1036 2.1036 3.3472
Na 0.0000 2.1036 0.0000
```

## Properties
- energy relative to the elements, uncorrected (eV per atom) = -1.159
- calculated volume (Å³ per cell) = 118.50